A relaxed ScTl2Ge2O6 crystal. Source: the Alexandria database, functional PBE-GGA.

Output
- Total DFT energy (no corrections): -6.169 eV/atom
- Symmetry: C2/m, No. 12

Cell lengths 5.7164, 5.7164, 6.9209 Å; angles 118.47, 118.47, 61.91 degrees
Closest atoms and distances in Å follow each position.
Fractional positions:
Sc: 0.0000 0.0000 0.0000  6 O 2.12-2.15
Tl: 0.2003 0.2003 0.6756  3 O 2.55-2.68
Tl: 0.7997 0.7997 0.3244  3 O 2.55-2.68
Ge: 0.4624 0.4624 0.2940  3 O 1.77-1.80
Ge: 0.5376 0.5376 0.7060  3 O 1.77-1.80
O: 0.2030 0.6796 0.7474  1 Ge 1.80
O: 0.2468 0.2468 0.0954  1 Ge 1.77
O: 0.3204 0.7970 0.2526  1 Ge 1.80
O: 0.6796 0.2030 0.7474  1 Ge 1.80
O: 0.7532 0.7532 0.9046  1 Ge 1.77
O: 0.7970 0.3204 0.2526  1 Ge 1.80

A relaxed Cd2SnPb8 crystal. Source: the Alexandria database, functional PBE-GGA.

Output
- Formation energy: 0.62 eV/f.u.
- Total DFT energy (no corrections): -3.171 eV/atom
- Excess energy over the best structure of this formula in the dataset: 0.0000 eV per atom
- Symmetry: C2/m, No. 12

Cell lengths 8.2924, 8.2924, 8.8801 Å; angles 121.25, 121.25, 40.39 degrees
Closest atoms and distances in Å follow each position.
Fractional positions:
Cd: 0.2262 0.2262 0.3132  9 Pb 3.31-3.61, 1 Sn 3.62
Cd: 0.7738 0.7738 0.6868  9 Pb 3.31-3.61, 1 Sn 3.62
Sn: 0.5000 0.5000 0.5000  8 Pb 3.31-3.39, 2 Cd 3.62
Pb: 0.0469 0.0469 0.8721  8 Pb 3.31-3.63, 2 Cd 3.32-3.61
Pb: 0.1359 0.1359 0.5797  3 Cd 3.35-3.38, 2 Sn 3.39, 5 Pb 3.40-3.65
Pb: 0.3214 0.3214 0.0602  1 Cd 3.31, 1 Sn 3.31, 8 Pb 3.38-3.68
Pb: 0.4009 0.4009 0.7536  3 Cd 3.31-3.34, 1 Sn 3.36, 5 Pb 3.44-3.68
Pb: 0.5991 0.5991 0.2464  3 Cd 3.31-3.34, 1 Sn 3.36, 5 Pb 3.44-3.68
Pb: 0.6786 0.6786 0.9398  1 Cd 3.31, 1 Sn 3.31, 8 Pb 3.38-3.68
Pb: 0.8641 0.8641 0.4203  3 Cd 3.35-3.38, 2 Sn 3.39, 5 Pb 3.40-3.65
Pb: 0.9531 0.9531 0.1279  8 Pb 3.31-3.63, 2 Cd 3.32-3.61